# 1
CaMg14Sb | GGA-PBE | relaxed

Output
Fermi-level density of states (states/eV/atom): 0.4891
Energy above the lowest structure with this stoichiometry (meV/atom): 0
E_form (uncorrected) (kJ/mol of atoms): -6

Geometry as CIF:
```
data_CaMg14Sb
_cell_length_a 10.521
_cell_length_b 6.334
_cell_length_c 11.467
_cell_angle_alpha 90.00
_cell_angle_beta 90.00
_cell_angle_gamma 90.00
_space_group_name_H-M_alt 'A m m 2'
_space_group_IT_number 38
loop_
_space_group_symop_operation_xyz
'x,y,z'
'-x,-y,z'
'-x,y,z'
'x,-y,z'
'x,y+1/2,z+1/2'
'-x,-y+1/2,z+1/2'
'-x,y+1/2,z+1/2'
'x,-y+1/2,z+1/2'
loop_
_atom_site_label
_atom_site_fract_x
_atom_site_fract_y
_atom_site_fract_z
_atom_site_occupancy
Ca1 0.000 0.000 0.000 1
Mg1 0.000 0.245 0.250 1
Mg2 0.242 0.000 0.663 1
Mg3 0.257 0.000 0.164 1
Mg4 0.259 0.249 0.910 1
Mg5 0.500 0.000 0.000 1
Mg6 0.500 0.000 0.502 1
Mg7 0.500 0.246 0.749 1
Sb1 0.000 0.000 0.490 1
```


# 2
Ac2NiRh3 | GGA-PBE | relaxed

Output
Fermi-level density of states (states/eV/atom): 1.7885
Formation energy (eV per atom): -0.468

Geometry as CIF:
```
data_Ac2NiRh3
_cell_length_a 4.245
_cell_length_b 4.310
_cell_length_c 7.485
_cell_angle_alpha 90.00
_cell_angle_beta 90.00
_cell_angle_gamma 90.00
_space_group_name_H-M_alt 'P m m 2'
_space_group_IT_number 25
loop_
_space_group_symop_operation_xyz
'x,y,z'
'-x,-y,z'
'-x,y,z'
'x,-y,z'
loop_
_atom_site_label
_atom_site_fract_x
_atom_site_fract_y
_atom_site_fract_z
_atom_site_occupancy
Ac1 0.000 0.000 0.000 1
Ac2 0.000 0.500 0.498 1
Ni1 0.500 0.500 0.831 1
Rh1 0.500 0.000 0.336 1
Rh2 0.500 0.000 0.676 1
Rh3 0.500 0.500 0.154 1
```


# 3
MnZnTeN2 | GGA-PBE | relaxed

Output
Fermi-level density of states (states/eV/atom): 2.1819
Energy above the lowest structure with this stoichiometry (meV/atom): 1338
E_form (uncorrected) (kJ/mol of atoms): 186

Geometry as CIF:
```
data_MnZnTeN2
_cell_length_a 3.757
_cell_length_b 3.757
_cell_length_c 5.980
_cell_angle_alpha 90.00
_cell_angle_beta 90.00
_cell_angle_gamma 90.00
_space_group_name_H-M_alt 'P 4/m m m'
_space_group_IT_number 123
_space_group_name_Hall '-P 4 2'
loop_
_atom_site_label
_atom_site_fract_x
_atom_site_fract_y
_atom_site_fract_z
_atom_site_occupancy
Mn1 0.000 0.000 0.000 1
Zn1 0.500 0.500 0.500 1
Te1 0.500 0.500 0.000 1
N1 0.000 0.500 0.500 1
```


# 4
VCo4 | GGA-PBE | relaxed

Output
Fermi-level density of states (states/eV/atom): 1.5290
Energy above the lowest structure with this stoichiometry (meV/atom): 1284
Formation energy (eV per atom): 1.255

Geometry as CIF:
```
data_VCo4
_cell_length_a 4.158
_cell_length_b 4.158
_cell_length_c 4.158
_cell_angle_alpha 90.00
_cell_angle_beta 90.00
_cell_angle_gamma 90.00
_space_group_name_H-M_alt 'P m -3 m'
_space_group_IT_number 221
_space_group_name_Hall '-P 4 2 3'
loop_
_atom_site_label
_atom_site_fract_x
_atom_site_fract_y
_atom_site_fract_z
_atom_site_occupancy
V1 0.000 0.000 0.000 1
Co1 0.000 0.000 0.500 1
Co2 0.500 0.500 0.500 1
```


# 5
Cr4AsC | GGA-PBE | relaxed

Output
Fermi-level density of states (states/eV/atom): 1.0267
Formation energy (eV per atom): 0.177

Geometry as CIF:
```
data_Cr4AsC
_cell_length_a 5.188
_cell_length_b 4.840
_cell_length_c 5.853
_cell_angle_alpha 90.00
_cell_angle_beta 104.72
_cell_angle_gamma 90.00
_space_group_name_H-M_alt 'P 1 21/c 1'
_space_group_IT_number 14
loop_
_space_group_symop_operation_xyz
'x,y,z'
'-x,-y,-z'
'-x,y+1/2,-z+1/2'
'x,-y+1/2,z+1/2'
loop_
_atom_site_label
_atom_site_fract_x
_atom_site_fract_y
_atom_site_fract_z
_atom_site_occupancy
Cr1 0.066 0.132 0.172 1
Cr2 0.366 0.577 0.107 1
As1 0.500 0.000 0.000 1
C1 0.000 0.000 0.500 1
```


# 6
Tl3In2Hg9 | GGA-PBE | relaxed

Output
Fermi-level density of states (states/eV/atom): 0.4346
Formation energy (eV per atom): 0.028

Geometry as CIF:
```
data_Tl3In2Hg9
_cell_length_a 3.707
_cell_length_b 11.208
_cell_length_c 19.761
_cell_angle_alpha 90.00
_cell_angle_beta 90.00
_cell_angle_gamma 90.00
_space_group_name_H-M_alt 'I m m m'
_space_group_IT_number 71
_space_group_name_Hall '-I 2 2'
loop_
_atom_site_label
_atom_site_fract_x
_atom_site_fract_y
_atom_site_fract_z
_atom_site_occupancy
Tl1 0.000 0.000 0.000 1
Tl2 0.000 0.000 0.358 1
In1 0.000 0.225 0.500 1
Hg1 0.000 0.209 0.121 1
Hg2 0.000 0.365 0.263 1
Hg3 0.000 0.500 0.000 1
```


# 7
VIn | GGA-PBE | relaxed

Output
Fermi-level density of states (states/eV/atom): 0.6307
Formation energy (eV per atom): 0.333

Geometry as CIF:
```
data_VIn
_cell_length_a 8.552
_cell_length_b 8.552
_cell_length_c 4.714
_cell_angle_alpha 90.00
_cell_angle_beta 90.00
_cell_angle_gamma 90.00
_space_group_name_H-M_alt 'I 4/m'
_space_group_IT_number 87
_space_group_name_Hall '-I 4'
loop_
_atom_site_label
_atom_site_fract_x
_atom_site_fract_y
_atom_site_fract_z
_atom_site_occupancy
V1 0.048 0.389 0.000 1
In1 0.135 0.205 0.500 1
```


# 8
Sr2CeRhO5 | GGA-PBE | relaxed

Output
Fermi-level density of states (states/eV/atom): 0.5162
E_form (uncorrected) (kJ/mol of atoms): -209

Geometry as CIF:
```
data_Sr2CeRhO5
_cell_length_a 6.500
_cell_length_b 6.500
_cell_length_c 6.116
_cell_angle_alpha 90.00
_cell_angle_beta 90.00
_cell_angle_gamma 90.00
_space_group_name_H-M_alt 'P 4/m b m'
_space_group_IT_number 127
_space_group_name_Hall '-P 4 2ab'
loop_
_atom_site_label
_atom_site_fract_x
_atom_site_fract_y
_atom_site_fract_z
_atom_site_occupancy
Sr1 0.165 0.335 0.000 1
Ce1 0.000 0.000 0.500 1
Rh1 0.000 0.500 0.500 1
O1 0.000 0.000 0.000 1
O2 0.161 0.661 0.290 1
```


# 9
PaBePbO5 | GGA-PBE | relaxed

Output
Fermi-level density of states (states/eV/atom): 0.4286
E_form (uncorrected) (kJ/mol of atoms): -228

Geometry as CIF:
```
data_PaBePbO5
_cell_length_a 6.757
_cell_length_b 9.109
_cell_length_c 7.958
_cell_angle_alpha 90.00
_cell_angle_beta 111.84
_cell_angle_gamma 90.00
_space_group_name_H-M_alt 'C 1 2/c 1'
_space_group_IT_number 15
loop_
_space_group_symop_operation_xyz
'x,y,z'
'-x,-y,-z'
'-x,y,-z+1/2'
'x,-y,z+1/2'
'x+1/2,y+1/2,z'
'-x+1/2,-y+1/2,-z'
'-x+1/2,y+1/2,-z+1/2'
'x+1/2,-y+1/2,z+1/2'
loop_
_atom_site_label
_atom_site_fract_x
_atom_site_fract_y
_atom_site_fract_z
_atom_site_occupancy
Pa1 0.000 0.000 0.000 1
Be1 0.000 0.312 0.250 1
Pb1 0.000 0.359 0.750 1
O1 0.000 0.101 0.750 1
O2 0.116 0.202 0.145 1
O3 0.165 0.426 0.407 1
```


# 10
KRb3Cd6 | GGA-PBE | relaxed

Output
Fermi-level density of states (states/eV/atom): 0.5845
Formation energy (eV per atom): 0.003

Geometry as CIF:
```
data_KRb3Cd6
_cell_length_a 13.304
_cell_length_b 7.529
_cell_length_c 8.011
_cell_angle_alpha 90.00
_cell_angle_beta 108.30
_cell_angle_gamma 90.00
_space_group_name_H-M_alt 'C 1 2/m 1'
_space_group_IT_number 12
loop_
_space_group_symop_operation_xyz
'x,y,z'
'-x,-y,-z'
'-x,y,-z'
'x,-y,z'
'x+1/2,y+1/2,z'
'-x+1/2,-y+1/2,-z'
'-x+1/2,y+1/2,-z'
'x+1/2,-y+1/2,z'
loop_
_atom_site_label
_atom_site_fract_x
_atom_site_fract_y
_atom_site_fract_z
_atom_site_occupancy
K1 0.000 0.000 0.000 1
Rb1 0.000 0.000 0.500 1
Rb2 0.035 0.500 0.274 1
Cd1 0.241 0.301 0.686 1
Cd2 0.242 0.500 0.040 1
```


# 11
LiNd2Ir | GGA-PBE | relaxed

Output
Fermi-level density of states (states/eV/atom): 0.7635
Energy above the lowest structure with this stoichiometry (meV/atom): 81
Formation energy (eV per atom): -0.315

Geometry as CIF:
```
data_LiNd2Ir
_cell_length_a 4.996
_cell_length_b 4.996
_cell_length_c 3.742
_cell_angle_alpha 90.00
_cell_angle_beta 90.00
_cell_angle_gamma 90.00
_space_group_name_H-M_alt 'P 4/m m m'
_space_group_IT_number 123
_space_group_name_Hall '-P 4 2'
loop_
_atom_site_label
_atom_site_fract_x
_atom_site_fract_y
_atom_site_fract_z
_atom_site_occupancy
Li1 0.000 0.000 0.000 1
Nd1 0.000 0.500 0.500 1
Ir1 0.500 0.500 0.000 1
```


# 12
ZrAl2P | GGA-PBE | relaxed

Output
Fermi-level density of states (states/eV/atom): 0.4353
Formation energy (eV per atom): -0.140

Geometry as CIF:
```
data_ZrAl2P
_cell_length_a 3.2366
_cell_length_b 3.2366
_cell_length_c 24.4401
_cell_angle_alpha 90.00
_cell_angle_beta 90.00
_cell_angle_gamma 120.00
_space_group_name_H-M_alt 'R -3 m'
_space_group_IT_number 166
_space_group_name_Hall '-R 3 2"'
loop_
_atom_site_label
_atom_site_fract_x
_atom_site_fract_y
_atom_site_fract_z
_atom_site_occupancy
Zr1 0.0000 0.0000 0.0000 1
Al1 0.0000 0.0000 0.2350 1
P1 0.0000 0.0000 0.5000 1
```


# 13
In3Pb | GGA-PBE | relaxed

Output
Fermi-level density of states (states/eV/atom): 0.6812
Formation energy (eV per atom): 0.025

Geometry as CIF:
```
data_In3Pb
_cell_length_a 3.544
_cell_length_b 4.494
_cell_length_c 7.115
_cell_angle_alpha 90.00
_cell_angle_beta 90.00
_cell_angle_gamma 90.00
_space_group_name_H-M_alt 'P m m m'
_space_group_IT_number 47
loop_
_space_group_symop_operation_xyz
'x,y,z'
'-x,-y,-z'
'-x,-y,z'
'x,y,-z'
'x,-y,-z'
'-x,y,z'
'-x,y,-z'
'x,-y,z'
loop_
_atom_site_label
_atom_site_fract_x
_atom_site_fract_y
_atom_site_fract_z
_atom_site_occupancy
In1 0.000 0.000 0.000 1
In2 0.500 0.500 0.239 1
Pb1 0.000 0.000 0.500 1
```


# 14
MgSiIr2Au | GGA-PBE | relaxed

Output
Fermi-level density of states (states/eV/atom): 0.8659
E_form (uncorrected) (kJ/mol of atoms): 140

Geometry as CIF:
```
data_MgSiIr2Au
_cell_length_a 4.598
_cell_length_b 4.598
_cell_length_c 4.610
_cell_angle_alpha 90.00
_cell_angle_beta 90.00
_cell_angle_gamma 90.00
_space_group_name_H-M_alt 'P 4/m m m'
_space_group_IT_number 123
_space_group_name_Hall '-P 4 2'
loop_
_atom_site_label
_atom_site_fract_x
_atom_site_fract_y
_atom_site_fract_z
_atom_site_occupancy
Mg1 0.000 0.000 0.000 1
Si1 0.500 0.500 0.500 1
Ir1 0.000 0.500 0.000 1
Au1 0.000 0.000 0.500 1
```


# 15
Rb2Na2As3 | GGA-PBE | relaxed

Output
Fermi-level density of states (states/eV/atom): 0.3077
Formation energy (eV per atom): -0.330

Geometry as CIF:
```
data_Rb2Na2As3
_cell_length_a 12.633
_cell_length_b 5.048
_cell_length_c 7.422
_cell_angle_alpha 90.00
_cell_angle_beta 120.28
_cell_angle_gamma 90.00
_space_group_name_H-M_alt 'C 1 2/m 1'
_space_group_IT_number 12
loop_
_space_group_symop_operation_xyz
'x,y,z'
'-x,-y,-z'
'-x,y,-z'
'x,-y,z'
'x+1/2,y+1/2,z'
'-x+1/2,-y+1/2,-z'
'-x+1/2,y+1/2,-z'
'x+1/2,-y+1/2,z'
loop_
_atom_site_label
_atom_site_fract_x
_atom_site_fract_y
_atom_site_fract_z
_atom_site_occupancy
Rb1 0.153 0.000 0.303 1
Na1 0.143 0.000 0.790 1
As1 0.000 0.500 0.500 1
As2 0.072 0.500 0.932 1
```


# 16
LiCuSn2 | GGA-PBE | relaxed

Output
Fermi-level density of states (states/eV/atom): 0.3811
Energy above the lowest structure with this stoichiometry (meV/atom): 57
Formation energy (eV per atom): -0.074

Geometry as CIF:
```
data_LiCuSn2
_cell_length_a 4.436
_cell_length_b 4.436
_cell_length_c 3.974
_cell_angle_alpha 90.00
_cell_angle_beta 90.00
_cell_angle_gamma 90.00
_space_group_name_H-M_alt 'P 4/m m m'
_space_group_IT_number 123
_space_group_name_Hall '-P 4 2'
loop_
_atom_site_label
_atom_site_fract_x
_atom_site_fract_y
_atom_site_fract_z
_atom_site_occupancy
Li1 0.000 0.000 0.000 1
Cu1 0.500 0.500 0.000 1
Sn1 0.000 0.500 0.500 1
```


# 17
AuCl3 | GGA-PBE | relaxed

Output
Fermi-level density of states (states/eV/atom): 1.6152
E_form (uncorrected) (kJ/mol of atoms): 43

Geometry as CIF:
```
data_AuCl3
_cell_length_a 3.142
_cell_length_b 3.142
_cell_length_c 10.537
_cell_angle_alpha 90.00
_cell_angle_beta 90.00
_cell_angle_gamma 90.00
_space_group_name_H-M_alt 'P 4/m m m'
_space_group_IT_number 123
_space_group_name_Hall '-P 4 2'
loop_
_atom_site_label
_atom_site_fract_x
_atom_site_fract_y
_atom_site_fract_z
_atom_site_occupancy
Au1 0.000 0.000 0.000 1
Cl1 0.000 0.000 0.500 1
Cl2 0.500 0.500 0.163 1
```


# 18
Pm5Nd3Tm4 | GGA-PBE | relaxed

Output
Fermi-level density of states (states/eV/atom): 1.2772
Energy above the lowest structure with this stoichiometry (meV/atom): 0
Formation energy (eV per atom): 0.017

Geometry as CIF:
```
data_Pm5Nd3Tm4
_cell_length_a 6.244
_cell_length_b 7.199
_cell_length_c 8.821
_cell_angle_alpha 89.88
_cell_angle_beta 89.98
_cell_angle_gamma 89.99
_space_group_name_H-M_alt 'P -1'
_space_group_IT_number 2
loop_
_space_group_symop_operation_xyz
'x,y,z'
'-x,-y,-z'
loop_
_atom_site_label
_atom_site_fract_x
_atom_site_fract_y
_atom_site_fract_z
_atom_site_occupancy
Pm1 0.000 0.000 0.000 1
Pm2 0.333 0.500 0.335 1
Pm3 0.498 0.247 0.999 1
Nd1 0.000 0.500 0.000 1
Nd2 0.165 0.752 0.664 1
Tm1 0.168 0.247 0.665 1
Tm2 0.335 0.000 0.336 1
```


# 19
Pa3Ni6Ge5 | GGA-PBE | relaxed

Output
Fermi-level density of states (states/eV/atom): 0.5332
Formation energy (eV per atom): -0.577

Geometry as CIF:
```
data_Pa3Ni6Ge5
_cell_length_a 4.110
_cell_length_b 12.358
_cell_length_c 8.794
_cell_angle_alpha 90.00
_cell_angle_beta 90.00
_cell_angle_gamma 90.00
_space_group_name_H-M_alt 'P m m n'
_space_group_IT_number 59
loop_
_space_group_symop_operation_xyz
'x,y,z'
'-x,-y,-z'
'-x+1/2,-y+1/2,z'
'x+1/2,y+1/2,-z'
'x+1/2,-y,-z'
'-x+1/2,y,z'
'-x,y+1/2,-z'
'x,-y+1/2,z'
loop_
_atom_site_label
_atom_site_fract_x
_atom_site_fract_y
_atom_site_fract_z
_atom_site_occupancy
Pa1 0.250 0.059 0.246 1
Pa2 0.250 0.750 0.240 1
Ni1 0.250 0.090 0.617 1
Ni2 0.250 0.250 0.044 1
Ni3 0.250 0.250 0.427 1
Ni4 0.250 0.612 0.973 1
Ge1 0.250 0.087 0.888 1
Ge2 0.250 0.610 0.521 1
Ge3 0.250 0.750 0.776 1
```


# 20
PrNd7Tm3 | GGA-PBE | relaxed

Output
Fermi-level density of states (states/eV/atom): 1.5911
Energy above the lowest structure with this stoichiometry (meV/atom): 57
Formation energy (eV per atom): 0.190

Geometry as CIF:
```
data_PrNd7Tm3
_cell_length_a 7.2311
_cell_length_b 7.2311
_cell_length_c 8.6702
_cell_angle_alpha 90.00
_cell_angle_beta 90.00
_cell_angle_gamma 120.00
_space_group_name_H-M_alt 'P 3 m 1'
_space_group_IT_number 156
loop_
_space_group_symop_operation_xyz
'x,y,z'
'-y,x-y,z'
'-x+y,-x,z'
'-y,-x,z'
'-x+y,y,z'
'x,x-y,z'
loop_
_atom_site_label
_atom_site_fract_x
_atom_site_fract_y
_atom_site_fract_z
_atom_site_occupancy
Pr1 0.0000 0.0000 0.0000 1
Nd1 0.0005 0.5003 0.9807 1
Nd2 0.3331 0.1665 0.3350 1
Nd3 0.3333 0.6667 0.3161 1
Tm1 0.1669 0.3338 0.6574 1
```